# MnAlIn2O6

Crystalline MnAlIn2O6 at its relaxed geometry (PBE with a Hubbard U, the Alexandria database).

Computed properties:
The calculation puts the total energy at -6.327 eV per atom. As for the symmetry: R3. Its theoretical density is 6.24 g/cm3.

Cell: 5.2498 5.2499 5.4594 Å, 61.26 61.26 60.00°
Fractional positions:
Mn 0.8173 0.8173 0.5480
Al 0.3150 0.3150 0.0551
In 0.5340 0.5340 0.3981
In 0.0348 0.0347 0.8958
O 0.5843 0.1842 0.2663
O 0.1842 0.9652 0.2663
O 0.9653 0.5843 0.2663
O 0.4580 0.6755 0.7731
O 0.6755 0.0934 0.7731
O 0.0934 0.4580 0.7731